Compound: Hf2Tc2Pb
Source: Alexandria
Functional: PBE
Structure: relaxed

POSCAR file:
```
Hf2Tc2Pb
1.0
7.575 0.000 0.000
0.000 7.575 0.000
0.000 0.000 3.398
Hf Tc Pb
4 4 2
direct
0.152 0.348 0.000 Hf
0.348 0.848 0.000 Hf
0.652 0.152 0.000 Hf
0.848 0.652 0.000 Hf
0.143 0.643 0.500 Tc
0.357 0.143 0.500 Tc
0.643 0.857 0.500 Tc
0.857 0.357 0.500 Tc
0.000 0.000 0.500 Pb
0.500 0.500 0.500 Pb
```

Computed properties:
E_form (eV/atom): 0.067
Electronic total energy (eV for the cell shown): -88.02